No. 1
Here is an optimized crystal structure of NaTl2InI5 from the Alexandria database. Energies are from PBE.

Properties
E_form (uncorrected)	-0.68	eV/atom
V	759.4	Å³/cell
SG	Cmc2_1

Cell lengths 10.581, 10.581, 14.070 Å; angles 90.00, 90.00, 151.18 degrees
Atoms (fractional coordinates):
Na: 0.211 0.789 0.500
Na: 0.789 0.211 0.000
Tl: 0.133 0.867 0.149
Tl: 0.135 0.865 0.797
Tl: 0.865 0.135 0.297
Tl: 0.867 0.133 0.649
In: 0.445 0.555 0.919
In: 0.555 0.445 0.419
I: 0.046 0.954 0.506
I: 0.297 0.703 0.141
I: 0.311 0.689 0.838
I: 0.361 0.639 0.482
I: 0.491 0.509 0.238
I: 0.509 0.491 0.738
I: 0.639 0.361 0.982
I: 0.689 0.311 0.338
I: 0.703 0.297 0.641
I: 0.954 0.046 0.006

=====

No. 2
Here is an optimized crystal structure of NaTlIn2I4 from the Alexandria database. Energies are from PBE.

Properties
E_form (uncorrected)	-0.70	eV/atom
V	333.5	Å³/cell
SG	P2/m

Cell lengths 8.495, 4.885, 8.510 Å; angles 90.00, 109.22, 90.00 degrees
Atoms (fractional coordinates):
Na: 0.000 0.000 0.000
Tl: 0.000 0.500 0.500
In: 0.500 0.000 0.500
In: 0.500 0.500 0.000
I: 0.236 0.500 0.234
I: 0.244 0.000 0.761
I: 0.756 0.000 0.239
I: 0.764 0.500 0.766

=====

No. 3
Here is an optimized crystal structure of NaTl2InI from the Alexandria database. Energies are from PBE.

Properties
E_form (uncorrected)	-0.01	eV/atom
V	220.1	Å³/cell
SG	P4/mmm

Cell lengths 5.848, 5.848, 6.435 Å; angles 90.00, 90.00, 90.00 degrees
Atoms (fractional coordinates):
Na: 0.000 0.000 0.000
Tl: 0.000 0.500 0.500
Tl: 0.500 0.000 0.500
In: 0.500 0.500 0.500
I: 0.500 0.500 0.000

=====

No. 4
Here is an optimized crystal structure of NaTmIn2I6 from the Alexandria database. Energies are from PBE.

Properties
E_form (uncorrected)	-0.97	eV/atom
V	438.3	Å³/cell
SG	R3

Cell lengths 8.635, 8.635, 8.635 Å; angles 58.37, 58.37, 58.37 degrees
Atoms (fractional coordinates):
Na: 0.000 0.000 0.000
Tm: 0.494 0.494 0.494
In: 0.292 0.292 0.292
In: 0.799 0.799 0.799
I: 0.147 0.715 0.364
I: 0.248 0.635 0.831
I: 0.364 0.147 0.715
I: 0.635 0.831 0.248
I: 0.715 0.364 0.147
I: 0.831 0.248 0.635